Entry 1:
## Hf2PIr (PBE-GGA)

Data for a geometry-optimized Hf2PIr structure.

a = 5.8383 Å, b = 5.8383 Å, c = 5.8383 Å
α = 105.29°, β = 105.29°, γ = 118.19°
Atoms (fractional coordinates):
Hf 0.1186 0.1250 0.4936
Hf 0.3750 0.8814 0.0064
Hf 0.6314 0.6250 0.5064
Hf 0.8750 0.3686 0.9936
P 0.0000 0.0000 0.0000
P 0.7500 0.2500 0.5000
Ir 0.2500 0.7500 0.5000
Ir 0.5000 0.5000 0.0000

- E (eV/atom) = -9.03
- spin magnetization (μB/f.u.) = 0.000
- calculated volume (Å³/f.u.) = 75



Entry 2:
## Na2PrBiO4 (PBE-GGA)

Data for a geometry-optimized Na2PrBiO4 structure.

a = 6.0462 Å, b = 3.5879 Å, c = 6.1890 Å
α = 90.00°, β = 109.75°, γ = 90.00°
Atoms (fractional coordinates):
Na 0.0000 0.0000 0.0000
Na 0.0000 0.5000 0.5000
Pr 0.5000 0.0000 0.5000
Bi 0.5000 0.5000 0.0000
O 0.2724 0.0000 0.7563
O 0.2793 0.5000 0.2611
O 0.7207 0.5000 0.7389
O 0.7276 0.0000 0.2437

- ΔE_f (raw) (eV/atom) = -1.9557
- E (eV/atom) = -5.85
- spin magnetization (μB/f.u.) = 0.000
- calculated volume (Å³/f.u.) = 126



Entry 3:
## SrTlIr2 (PBE-GGA)

Data for a geometry-optimized SrTlIr2 structure.

a = 4.4550 Å, b = 4.4550 Å, c = 4.0544 Å
α = 90.00°, β = 90.00°, γ = 90.00°
Atoms (fractional coordinates):
Sr 0.0000 0.0000 0.0000
Tl 0.5000 0.5000 0.0000
Ir 0.0000 0.5000 0.5000
Ir 0.5000 0.0000 0.5000

- polymorph energy (0 for the lowest one) (meV per atom) = 275
- E (eV/atom) = -5.09
- spin magnetization (μB/f.u.) = 0.000
- calculated volume (Å³/f.u.) = 80



- E of number 3 (SrTlIr2)?
  -5.09 eV/atom



- Which value of spin magnetization does entry 2 give?
  0.000 μB/f.u.



- What is the calculated volume in the second record?
  126 Å³/f.u.